A plane-wave DFT calculation with PBE-GGA was carried out for a relaxed structure of BeCrCd.

```
BeCrCd
1.0
4.2412 0.0000 0.0000
-2.1206 3.6730 0.0000
0.0000 0.0000 2.8985
Be Cr Cd
1 1 1
direct
0.0000 0.0000 0.0000 Be
0.3333 0.6667 0.5000 Cr
0.6667 0.3333 0.0000 Cd
```

Summary:
Formation enthalpy at 0 K: 1.46 eV/f.u.
Energy above the lowest structure with this stoichiometry: 0.054 eV/atom